Here is crystalline U4Tl at its relaxed geometry from Alexandria via LeMat-Bulk. Energies are from PBE-GGA.

Results
Fermi-level density of states = 35.4 states/eV/cell
DFT total energy = -0.2730 Ha/atom

Lattice parameters (Å, degrees): 5.7079 5.7079 5.7079 90.00 90.00 90.00
Last column: nearest neighbours and their distance in Å.
Positions (direct):
Tl  0.5000  0.5000  0.5000  6 U 2.85
U  0.0000  0.0000  0.0000  12 U 4.04
U  0.5000  0.0000  0.5000  2 Tl 2.85
U  0.0000  0.5000  0.5000  2 Tl 2.85
U  0.5000  0.5000  0.0000  2 Tl 2.85